Entry 1:
Crystalline Ac6OsAu2 at its relaxed geometry, computed with PBE-GGA. Values from VASP.

The structure in Quantum ESPRESSO input format:
```
&SYSTEM
  ibrav = 0, nat = 18, ntyp = 3
/
ATOMIC_SPECIES
Ac 227.00 Ac.upf
Os 190.23 Os.upf
Au 196.97 Au.upf
ATOMIC_POSITIONS angstrom
Ac -0.911 0.355 2.772
Ac -4.169 3.666 8.387
Ac 1.305 5.529 0.830
Ac -1.953 6.532 6.446
Ac 2.393 1.512 0.713
Ac -0.865 2.508 6.329
Ac 1.755 5.532 4.902
Ac -1.503 6.528 10.518
Ac 2.843 1.508 4.786
Ac -0.414 2.512 10.402
Ac 5.059 4.375 2.844
Ac 1.802 7.686 8.460
Os 0.000 0.000 0.000
Os -3.258 4.020 5.616
Au -2.603 0.877 8.678
Au 0.654 3.143 3.062
Au 0.236 4.897 8.169
Au 3.494 7.163 2.554
CELL_PARAMETERS angstrom
7.405 0.000 0.000
0.000 8.040 0.000
-6.515 0.000 11.232
```

Computed properties:
The formation energy comes out at -399 meV/atom.

=====

Entry 2:
Crystalline RbBiAs2Pd4 at its relaxed geometry, computed with PBE-GGA. Values from VASP.

The structure in Quantum ESPRESSO input format:
```
&SYSTEM
  ibrav = 0, nat = 8, ntyp = 4
/
ATOMIC_SPECIES
Rb 85.47 Rb.upf
Bi 208.98 Bi.upf
As 74.92 As.upf
Pd 106.42 Pd.upf
ATOMIC_POSITIONS angstrom
Rb 0.000 0.000 0.000
Bi 0.000 0.000 5.379
As 2.102 2.102 2.129
As 2.102 2.102 8.628
Pd 0.000 2.102 3.427
Pd 0.000 2.102 7.330
Pd 2.102 0.000 3.427
Pd 2.102 0.000 7.330
CELL_PARAMETERS angstrom
4.203 0.000 0.000
0.000 4.203 0.000
0.000 0.000 10.757
```

Computed properties:
The formation energy comes out at -342 meV/atom.